Below is a relaxed Cr2PtSe crystal, with properties calculated at the PBEsol level.

Geometry as POSCAR:
```
Cr2PtSe
1.0
2.702 -3.492 0.000
2.702 3.492 0.000
0.000 0.000 3.018
Cr Pt Se
2 1 1
direct
0.000 0.500 0.000
0.500 0.000 0.000
0.000 0.000 0.500
0.500 0.500 0.500
```

Computed properties:
As for the raw formation energy: 0.168 eV per atom. For the electronic total energy, the calculation gives -7.657 eV/atom. The space-group type is No. 65.

Below is a relaxed Cr2PtSe crystal, with properties calculated at the PBEsol level.

Geometry as POSCAR:
```
Cr2PtSe
1.0
0.000 3.097 3.097
3.097 0.000 3.097
3.097 3.097 0.000
Cr Pt Se
2 1 1
direct
0.000 0.000 0.000
0.250 0.250 0.250
0.750 0.750 0.750
0.500 0.500 0.500
```

Computed properties:
As for the raw formation energy: 0.363 eV per atom. For the electronic total energy, the calculation gives -7.461 eV/atom. The space-group type is No. 216.

Below is a relaxed Cr2PtSe crystal, with properties calculated at the PBEsol level.

Geometry as POSCAR:
```
Cr2PtSe
1.0
1.388 0.801 7.942
-1.388 0.801 7.942
0.000 -1.603 7.942
Cr Pt Se
2 1 1
direct
0.245 0.245 0.245
0.755 0.755 0.755
0.000 0.000 0.000
0.500 0.500 0.500
```

Computed properties:
As for the raw formation energy: 0.177 eV per atom. For the electronic total energy, the calculation gives -7.647 eV/atom. The space-group type is No. 166.

Below is a relaxed CrPtSe3 crystal, with properties calculated at the PBEsol level.

Geometry as POSCAR:
```
CrPtSe3
1.0
4.566 0.000 0.000
0.000 4.566 0.000
0.000 0.000 4.566
Cr Pt Se
1 1 3
direct
0.000 0.000 0.000
0.500 0.500 0.500
0.000 0.000 0.500
0.000 0.500 0.000
0.500 0.000 0.000
```

Computed properties:
As for the raw formation energy: 0.644 eV per atom. For the electronic total energy, the calculation gives -5.107 eV/atom. The space-group type is No. 221.

Below is a relaxed CrSi2Pt crystal, with properties calculated at the PBEsol level.

Geometry as POSCAR:
```
CrSi2Pt
1.0
4.311 -1.469 0.000
4.311 1.469 0.000
-1.129 0.000 4.102
Cr Si Pt
1 2 1
direct
0.000 0.000 0.000
0.263 0.263 0.894
0.515 0.515 0.539
0.770 0.770 0.389
```

Computed properties:
As for the raw formation energy: -0.402 eV per atom. For the electronic total energy, the calculation gives -7.577 eV/atom. The space-group type is No. 8.

Below is a relaxed CrSi3Pt crystal, with properties calculated at the PBEsol level.

Geometry as POSCAR:
```
CrSi3Pt
1.0
4.331 0.000 0.000
0.000 4.331 0.000
0.000 0.000 4.331
Cr Si Pt
1 3 1
direct
0.000 0.000 0.000
0.000 0.000 0.500
0.000 0.500 0.000
0.500 0.000 0.000
0.500 0.500 0.500
```

Computed properties:
As for the raw formation energy: 0.537 eV per atom. For the electronic total energy, the calculation gives -6.352 eV/atom. The space-group type is No. 221.

Below is a relaxed Sr2CrPt crystal, with properties calculated at the PBEsol level.

Geometry as POSCAR:
```
Sr2CrPt
1.0
3.728 0.000 0.000
0.000 3.728 0.000
0.000 0.000 7.728
Sr Cr Pt
2 1 1
direct
0.000 0.000 0.220
0.000 0.000 0.780
0.500 0.500 0.500
0.500 0.500 0.000
```

Computed properties:
For the electronic total energy, the calculation gives -5.070 eV/atom. The space-group type is No. 123. The energy relative to the elements comes out at 152 meV/atom.

Below is a relaxed Sr2CrPt crystal, with properties calculated at the PBEsol level.

Geometry as POSCAR:
```
Sr2CrPt
1.0
2.169 1.252 7.928
-2.169 1.252 7.928
0.000 -2.505 7.928
Sr Cr Pt
2 1 1
direct
0.000 0.000 0.000
0.175 0.175 0.175
0.754 0.754 0.754
0.421 0.421 0.421
```

Computed properties:
For the electronic total energy, the calculation gives -5.325 eV/atom. The space-group type is No. 160. The energy relative to the elements comes out at -103 meV/atom.

Below is a relaxed TaCrPt crystal, with properties calculated at the PBEsol level.

Geometry as POSCAR:
```
TaCrPt
1.0
-1.352 1.352 5.987
1.352 -1.352 5.987
1.352 1.352 -5.987
Ta Cr Pt
1 1 1
direct
0.000 0.000 0.000
0.671 0.671 0.000
0.319 0.319 0.000
```

Computed properties:
For the electronic total energy, the calculation gives -10.092 eV/atom. The space-group type is No. 107. The energy relative to the elements comes out at -174 meV/atom.

Below is a relaxed TaCr2Pt crystal, with properties calculated at the PBEsol level.

Geometry as POSCAR:
```
TaCr2Pt
1.0
2.834 0.000 0.000
0.000 2.834 0.000
0.000 0.000 6.853
Ta Cr Pt
1 2 1
direct
0.000 0.000 0.000
0.000 0.000 0.443
0.500 0.500 0.269
0.500 0.500 0.704
```

Computed properties:
For the electronic total energy, the calculation gives -10.150 eV/atom. The space-group type is No. 99. The energy relative to the elements comes out at -151 meV/atom.

Below is a relaxed TaCrPt3 crystal, with properties calculated at the PBEsol level.

Geometry as POSCAR:
```
TaCrPt3
1.0
4.475 0.000 0.000
0.000 4.475 0.000
0.000 0.000 4.475
Ta Cr Pt
1 1 3
direct
0.000 0.000 0.000
0.500 0.500 0.500
0.000 0.500 0.500
0.500 0.000 0.500
0.500 0.500 0.000
```

Computed properties:
For the electronic total energy, the calculation gives -7.626 eV/atom. The space-group type is No. 221. The energy relative to the elements comes out at 1111 meV/atom.

Below is a relaxed TaCrPt crystal, with properties calculated at the PBEsol level.

Geometry as POSCAR:
```
TaCrPt
1.0
0.000 3.018 3.018
3.018 0.000 3.018
3.018 3.018 0.000
Ta Cr Pt
1 1 1
direct
0.000 0.000 0.000
0.500 0.500 0.500
0.750 0.750 0.750
```

Computed properties:
For the electronic total energy, the calculation gives -9.583 eV/atom. The space-group type is No. 216. The energy relative to the elements comes out at 336 meV/atom.

Below is a relaxed Cr3TcPt crystal, with properties calculated at the PBEsol level.

Geometry as POSCAR:
```
Cr3TcPt
1.0
4.448 0.000 0.000
0.000 4.448 0.000
0.000 0.000 4.448
Cr Tc Pt
3 1 1
direct
0.000 0.000 0.500
0.000 0.500 0.000
0.500 0.000 0.000
0.000 0.000 0.000
0.500 0.500 0.500
```

Computed properties:
For the electronic total energy, the calculation gives -8.305 eV/atom. The space-group type is No. 221. The energy relative to the elements comes out at 1486 meV/atom.

Below is a relaxed Cr4TcPt crystal, with properties calculated at the PBEsol level.

Geometry as POSCAR:
```
Cr4TcPt
1.0
0.000 3.315 3.315
3.315 0.000 3.315
3.315 3.315 0.000
Cr Tc Pt
4 1 1
direct
0.125 0.125 0.125
0.125 0.125 0.626
0.125 0.626 0.125
0.626 0.125 0.125
0.750 0.750 0.750
0.500 0.500 0.500
```

Computed properties:
For the electronic total energy, the calculation gives -9.938 eV/atom. The space-group type is No. 216. The energy relative to the elements comes out at -71 meV/atom.

Below is a relaxed CrTe2Pt crystal, with properties calculated at the PBEsol level.

Geometry as POSCAR:
```
CrTe2Pt
1.0
1.705 0.985 7.463
-1.705 0.985 7.463
0.000 -1.969 7.463
Cr Te Pt
1 2 1
direct
0.000 0.000 0.000
0.254 0.254 0.254
0.746 0.746 0.746
0.500 0.500 0.500
```

Computed properties:
As for the raw formation energy: 0.216 eV per atom. For the electronic total energy, the calculation gives -5.848 eV/atom. The space-group type is No. 166.

Below is a relaxed CrTe2Pt crystal, with properties calculated at the PBEsol level.

Geometry as POSCAR:
```
CrTe2Pt
1.0
3.991 0.000 0.000
0.000 1.890 5.289
0.000 -1.890 5.289
Cr Te Pt
1 2 1
direct
0.000 0.000 0.000
0.000 0.280 0.280
0.500 0.564 0.564
0.500 0.820 0.820
```

Computed properties:
As for the raw formation energy: -0.030 eV per atom. For the electronic total energy, the calculation gives -6.094 eV/atom. The space-group type is No. 38.

Below is a relaxed ZnCrTePt2 crystal, with properties calculated at the PBEsol level.

Geometry as POSCAR:
```
ZnCrTePt2
1.0
4.572 0.000 0.000
0.000 4.572 0.000
0.000 0.000 4.570
Zn Cr Te Pt
1 1 1 2
direct
0.000 0.000 0.000
0.000 0.000 0.500
0.500 0.500 0.000
0.000 0.500 0.500
0.500 0.000 0.500
```

Computed properties:
As for the raw formation energy: 0.834 eV per atom. For the electronic total energy, the calculation gives -5.022 eV/atom. The space-group type is No. 123.

Below is a relaxed TiCrPt3 crystal, with properties calculated at the PBEsol level.

Geometry as POSCAR:
```
TiCrPt3
1.0
4.596 0.000 0.000
0.000 4.596 0.000
0.000 0.000 4.596
Ti Cr Pt
1 1 3
direct
0.000 0.000 0.000
0.500 0.500 0.500
0.000 0.000 0.500
0.000 0.500 0.000
0.500 0.000 0.000
```

Computed properties:
For the electronic total energy, the calculation gives -7.098 eV/atom. The space-group type is No. 221. The energy relative to the elements comes out at 793 meV/atom.

Below is a relaxed Tl2CrPt crystal, with properties calculated at the PBEsol level.

Geometry as POSCAR:
```
Tl2CrPt
1.0
1.631 0.942 8.460
-1.631 0.942 8.460
0.000 -1.884 8.460
Tl Cr Pt
2 1 1
direct
0.249 0.249 0.249
0.751 0.751 0.751
0.000 0.000 0.000
0.500 0.500 0.500
```

Computed properties:
For the electronic total energy, the calculation gives -5.154 eV/atom. The space-group type is No. 166. The energy relative to the elements comes out at 462 meV/atom.

Below is a relaxed Tl3CrPt crystal, with properties calculated at the PBEsol level.

Geometry as POSCAR:
```
Tl3CrPt
1.0
5.087 0.000 0.000
0.000 5.087 0.000
0.000 0.000 5.087
Tl Cr Pt
3 1 1
direct
0.000 0.000 0.500
0.000 0.500 0.000
0.500 0.000 0.000
0.000 0.000 0.000
0.500 0.500 0.500
```

Computed properties:
For the electronic total energy, the calculation gives -4.020 eV/atom. The space-group type is No. 221. The energy relative to the elements comes out at 999 meV/atom.

Below is a relaxed TlCrPt crystal, with properties calculated at the PBEsol level.

Geometry as POSCAR:
```
TlCrPt
1.0
0.000 3.065 3.065
3.065 0.000 3.065
3.065 3.065 0.000
Tl Cr Pt
1 1 1
direct
0.000 0.000 0.000
0.250 0.250 0.250
0.500 0.500 0.500
```

Computed properties:
For the electronic total energy, the calculation gives -6.138 eV/atom. The space-group type is No. 216. The energy relative to the elements comes out at 474 meV/atom.

Below is a relaxed TlCrPt2 crystal, with properties calculated at the PBEsol level.

Geometry as POSCAR:
```
TlCrPt2
1.0
1.434 0.828 8.907
-1.434 0.828 8.907
0.000 -1.655 8.907
Tl Cr Pt
1 1 2
direct
0.000 0.000 0.000
0.247 0.247 0.247
0.509 0.509 0.509
0.756 0.756 0.756
```

Computed properties:
For the electronic total energy, the calculation gives -6.338 eV/atom. The space-group type is No. 160. The energy relative to the elements comes out at 362 meV/atom.

Below is a relaxed TlCrPt crystal, with properties calculated at the PBEsol level.

Geometry as POSCAR:
```
TlCrPt
1.0
-1.443 1.443 5.851
1.443 -1.443 5.851
1.443 1.443 -5.851
Tl Cr Pt
1 1 1
direct
0.000 0.000 0.000
0.675 0.675 0.000
0.305 0.305 0.000
```

Computed properties:
For the electronic total energy, the calculation gives -6.308 eV/atom. The space-group type is No. 107. The energy relative to the elements comes out at 304 meV/atom.

Below is a relaxed CrPt2W crystal, with properties calculated at the PBEsol level.

Geometry as POSCAR:
```
CrPt2W
1.0
4.544 -1.364 0.000
4.544 1.364 0.000
-0.833 0.000 4.601
Cr Pt W
1 2 1
direct
0.000 0.000 0.000
0.253 0.253 0.754
0.747 0.747 0.246
0.500 0.500 0.500
```

Computed properties:
For the electronic total energy, the calculation gives -9.512 eV/atom. The space-group type is No. 12. The energy relative to the elements comes out at -18 meV/atom.

Below is a relaxed CrPt2W crystal, with properties calculated at the PBEsol level.

Geometry as POSCAR:
```
CrPt2W
1.0
2.674 0.000 0.000
0.000 2.674 0.000
0.000 0.000 7.909
Cr Pt W
1 2 1
direct
0.000 0.000 0.000
0.500 0.500 0.238
0.500 0.500 0.762
0.000 0.000 0.500
```

Computed properties:
For the electronic total energy, the calculation gives -9.646 eV/atom. The space-group type is No. 123. The energy relative to the elements comes out at -152 meV/atom.

Below is a relaxed CrPtW crystal, with properties calculated at the PBEsol level.

Geometry as POSCAR:
```
CrPtW
1.0
-1.318 1.931 4.137
1.318 -1.931 4.137
1.318 1.931 -4.137
Cr Pt W
1 1 1
direct
0.000 0.000 0.000
0.664 0.664 0.000
0.340 0.340 0.000
```

Computed properties:
For the electronic total energy, the calculation gives -10.296 eV/atom. The space-group type is No. 44. The energy relative to the elements comes out at 41 meV/atom.

Below is a relaxed CrPt2W crystal, with properties calculated at the PBEsol level.

Geometry as POSCAR:
```
CrPt2W
1.0
-1.934 1.934 3.822
1.934 -1.934 3.822
1.934 1.934 -3.822
Cr Pt W
1 2 1
direct
0.000 0.000 0.000
0.250 0.750 0.500
0.500 0.500 0.000
0.750 0.250 0.500
```

Computed properties:
For the electronic total energy, the calculation gives -9.613 eV/atom. The space-group type is No. 119. The energy relative to the elements comes out at -119 meV/atom.

Below is a relaxed Cr4PtW crystal, with properties calculated at the PBEsol level.

Geometry as POSCAR:
```
Cr4PtW
1.0
0.000 3.341 3.341
3.341 0.000 3.341
3.341 3.341 0.000
Cr Pt W
4 1 1
direct
0.124 0.124 0.124
0.124 0.124 0.628
0.124 0.628 0.124
0.628 0.124 0.124
0.500 0.500 0.500
0.750 0.750 0.750
```

Computed properties:
For the electronic total energy, the calculation gives -10.319 eV/atom. The space-group type is No. 216. The energy relative to the elements comes out at -29 meV/atom.

Below is a relaxed ZnCr2Pt crystal, with properties calculated at the PBEsol level.

Geometry as POSCAR:
```
ZnCr2Pt
1.0
2.456 -4.036 0.000
2.456 4.036 0.000
0.000 0.000 2.563
Zn Cr Pt
1 2 1
direct
0.000 0.000 0.000
0.000 0.500 0.500
0.500 0.000 0.500
0.500 0.500 0.000
```

Computed properties:
For the electronic total energy, the calculation gives -7.195 eV/atom. The space-group type is No. 65. The energy relative to the elements comes out at 63 meV/atom.

Below is a relaxed ZnCr2Pt crystal, with properties calculated at the PBEsol level.

Geometry as POSCAR:
```
ZnCr2Pt
1.0
2.592 0.000 0.000
0.000 3.949 0.000
0.000 0.000 4.945
Zn Cr Pt
1 2 1
direct
0.000 0.000 0.000
0.500 0.500 0.220
0.500 0.500 0.780
0.000 0.000 0.500
```

Computed properties:
For the electronic total energy, the calculation gives -7.252 eV/atom. The space-group type is No. 47. The energy relative to the elements comes out at 6 meV/atom.